Entry 1:
Entry from the Alexandria database: a relaxed Dy6Si2C crystal (PBE).

a b c (Å): 6.208 7.685 9.289
angles (deg): 90.00 91.14 90.00
Fractional coordinates of all 18 atoms:
1 Dy 0.886 0.966 0.249
2 Dy 0.856 0.703 0.554
3 Dy 0.828 0.663 0.944
4 Dy 0.672 0.163 0.556
5 Dy 0.644 0.203 0.946
6 Dy 0.614 0.466 0.251
7 Dy 0.114 0.034 0.751
8 Dy 0.144 0.297 0.446
9 Dy 0.172 0.337 0.056
10 Dy 0.328 0.837 0.444
11 Dy 0.356 0.797 0.054
12 Dy 0.386 0.534 0.749
13 Si 0.936 0.387 0.744
14 Si 0.564 0.887 0.756
15 Si 0.436 0.113 0.244
16 Si 0.064 0.613 0.256
17 C 0.500 0.500 0.000
18 C 0.000 0.000 0.500

Properties
total magnetization: 0.00 μB/f.u.
SG: P2_1/c, No. 14
formation energy (no corrections): -0.465 eV/atom

---

Entry 2:
Entry from the Alexandria database: a relaxed SmNpSe2 crystal (PBE).

a b c (Å): 3.973 3.973 7.769
angles (deg): 75.18 75.18 60.00
Last column: magnetic moment on the atom in μB.
Fractional coordinates of all 4 atoms:
1 Sm 0.670 0.670 0.991  -0.01
2 Np 0.496 0.496 0.511  4.18
3 Se 0.083 0.083 0.751  -0.04
4 Se 0.251 0.251 0.248  -0.04

Properties
total magnetization: 4.60 μB/f.u.
SG: R3m, No. 160
formation energy (no corrections): -1.366 eV/atom

---

Entry 3:
Entry from the Alexandria database: a relaxed Nd4MgCd crystal (PBE).

a b c (Å): 3.767 7.166 8.916
angles (deg): 118.28 77.81 74.76
Fractional coordinates of all 6 atoms:
1 Nd 0.830 0.513 0.826
2 Nd 0.325 0.020 0.330
3 Nd 0.170 0.487 0.174
4 Nd 0.675 0.980 0.670
5 Mg 0.000 0.000 0.000
6 Cd 0.500 0.500 0.500

Properties
total magnetization: 0.01 μB/f.u.
SG: C2/m, No. 12
energy relative to the elements: -0.13 eV per atom

---

Entry 4:
Entry from the Alexandria database: a relaxed SrLaTlAs2O8 crystal (PBE).

a b c (Å): 7.467 7.467 13.833
angles (deg): 90.00 90.00 120.00
Fractional coordinates of all 39 atoms:
1 Sr 0.500 0.000 0.414
2 Sr 0.500 0.500 0.747
3 Sr 0.000 0.500 0.080
4 La 0.499 0.000 0.917
5 La 0.500 0.501 0.251
6 La 0.000 0.500 0.584
7 Tl 0.001 0.001 0.148
8 Tl 0.000 0.999 0.481
9 Tl 0.999 0.000 0.814
10 As 0.499 0.000 0.161
11 As 0.500 0.000 0.671
12 As 0.500 0.500 0.005
13 As 0.501 0.501 0.494
14 As 0.000 0.500 0.338
15 As 0.000 0.499 0.828
16 O 0.132 0.703 0.417
17 O 0.142 0.705 0.903
18 O 0.295 0.867 0.082
19 O 0.295 0.854 0.595
20 O 0.146 0.441 0.262
21 O 0.133 0.428 0.749
22 O 0.295 0.437 0.570
23 O 0.297 0.429 0.084
24 O 0.563 0.858 0.236
25 O 0.571 0.868 0.751
26 O 0.572 0.705 0.415
27 O 0.559 0.705 0.929
28 O 0.430 0.297 0.415
29 O 0.442 0.296 0.929
30 O 0.435 0.143 0.236
31 O 0.428 0.131 0.751
32 O 0.703 0.572 0.084
33 O 0.708 0.565 0.570
34 O 0.854 0.558 0.262
35 O 0.867 0.570 0.749
36 O 0.703 0.133 0.082
37 O 0.704 0.146 0.595
38 O 0.869 0.297 0.418
39 O 0.857 0.292 0.903

Properties
total magnetization: 0.00 μB/f.u.
SG: P3_2, No. 145
formation energy (no corrections): -2.088 eV/atom

---

Entry 5:
Entry from the Alexandria database: a relaxed Rb3Ho3MnTe8 crystal (PBE).

a b c (Å): 8.727 8.733 10.127
angles (deg): 115.58 90.00 119.99
Last column: magnetic moment on the atom in μB.
Fractional coordinates of all 15 atoms:
1 Rb 0.000 0.000 0.000  0.00
2 Rb 0.000 0.500 0.000  0.00
3 Rb 0.500 0.500 0.000  0.00
4 Ho 0.500 0.000 0.500  0.02
5 Ho 0.500 0.500 0.500  0.02
6 Ho 0.000 0.500 0.500  0.02
7 Mn 0.000 0.000 0.500  3.45
8 Te 0.267 0.533 0.300  0.00
9 Te 0.733 0.467 0.700  0.00
10 Te 0.785 0.571 0.316  -0.06
11 Te 0.215 0.429 0.684  -0.06
12 Te 0.785 0.030 0.316  -0.06
13 Te 0.215 0.970 0.684  -0.06
14 Te 0.245 0.030 0.316  -0.06
15 Te 0.755 0.970 0.684  -0.06

Properties
total magnetization: 3.10 μB/f.u.
SG: C2/m, No. 12
formation energy (no corrections): -1.076 eV/atom

---

Entry 6:
Entry from the Alexandria database: a relaxed Dy2YZnN crystal (PBE).

a b c (Å): 4.773 4.773 4.780
angles (deg): 90.00 90.00 90.00
Fractional coordinates of all 5 atoms:
1 Dy 0.000 0.500 0.000
2 Dy 0.500 0.000 0.000
3 Y 0.000 0.000 0.500
4 Zn 0.500 0.500 0.500
5 N 0.000 0.000 0.000

Properties
total magnetization: 0.00 μB/f.u.
SG: P4/mmm, No. 123
formation energy (no corrections): -0.794 eV/atom

---

Entry 7:
Entry from the Alexandria database: a relaxed MgTcHg2 crystal (PBE).

a b c (Å): 5.686 5.686 5.097
angles (deg): 64.96 64.96 30.52
Last column: magnetic moment on the atom in μB.
Fractional coordinates of all 4 atoms:
1 Hg 0.990 0.990 0.093  0.00
2 Hg 0.752 0.752 0.674  -0.01
3 Mg 0.512 0.512 0.567  0.00
4 Tc 0.246 0.246 0.165  0.37

Properties
total magnetization: 0.40 μB/f.u.
SG: Cm, No. 8
energy relative to the elements: 0.30 eV per atom

---

Entry 8:
Entry from the Alexandria database: a relaxed KMg2Pt crystal (PBE).

a b c (Å): 5.684 6.152 3.022
angles (deg): 77.06 87.31 116.77
Fractional coordinates of all 4 atoms:
1 K 0.500 0.500 0.000
2 Mg 0.000 0.000 0.000
3 Mg 0.500 0.000 0.500
4 Pt 0.000 0.500 0.500

Properties
total magnetization: 0.00 μB/f.u.
SG: C2/m, No. 12
energy relative to the elements: 0.15 eV per atom

---

- Look up the total magnetization of the sixth one.
  0.00 μB/f.u.

---

- Among the records above, which one has the highest total magnetization?
  SmNpSe2